Computed, not measured: an optimized crystal structure of CuGeP2S at the PBE level of DFT.

Crystal system ... tetragonal
Energy relative to the elements, uncorrected ... 0.9821 eV per atom
Volume ... 97 Å³/cell

Cell and atoms, written as POSCAR:
```
CuGeP2S
1.0
4.480 0.000 0.000
0.000 4.480 0.000
0.000 0.000 4.850
Cu Ge P S
1 1 2 1
Direct
0.000 0.000 0.000
0.500 0.500 0.000
0.000 0.500 0.500
0.500 0.000 0.500
0.500 0.500 0.500
```